1.
DFT (GGA-PBE) results for a relaxed structure of Na3Y2TmSe6.

Cell: 7.1530 12.3899 7.4050 Å, 90.00 108.79 90.00°
Space group C2/m (No. 12)
Symmetry-distinct sites (fractional):
Na1 0.0000 0.0000 0.0000 x2
Na2 0.0000 0.3326 0.0000 x4
Y1 0.0000 0.1665 0.5000 x4
Tm1 0.0000 0.5000 0.5000 x2
Se1 0.2412 0.3350 0.7288 x8
Se2 0.2464 0.0000 0.7287 x4

Values from the calculation:
Total magnetization: 0.000 μB/cell
Total DFT energy (no corrections): -125.6 eV/cell

2.
DFT (GGA-PBE) results for a relaxed structure of NaY3Tm2Se6.

Cell: 7.0272 12.1790 7.0954 Å, 90.00 109.37 90.00°
Space group C2/m (No. 12)
Symmetry-distinct sites (fractional):
Na1 0.0000 0.0000 0.0000 x2
Y1 0.0000 0.1618 0.5000 x4
Y2 0.0000 0.5000 0.5000 x2
Tm1 0.0000 0.3345 0.0000 x4
Se1 0.2457 0.5000 0.2403 x4
Se2 0.2503 0.1685 0.2470 x8

Values from the calculation:
Total magnetization: 0.000 μB/cell
Total DFT energy (no corrections): -142.4 eV/cell

3.
DFT (GGA-PBE) results for a relaxed structure of Na4YTm3Se8.

Cell: 8.2177 8.2177 21.0093 Å, 90.00 90.00 120.00°
Space group R-3m (No. 166, hexagonal axes)
Symmetry-distinct sites (fractional):
Na1 0.0000 0.0000 0.0000 x3
Na2 0.0000 0.5000 0.0000 x9
Y1 0.0000 0.0000 0.5000 x3
Tm1 0.0000 0.5000 0.5000 x9
Se1 0.0000 0.0000 0.2421 x6
Se2 0.0030 0.5015 0.7574 x18

Values from the calculation:
Total magnetization: 0.000 μB/cell
Total DFT energy (no corrections): -240.9 eV/cell

4.
DFT (GGA-PBE) results for a relaxed structure of Na4Y3TmSe8.

Cell: 8.2708 8.2708 21.0260 Å, 90.00 90.00 120.00°
Space group R-3m (No. 166, hexagonal axes)
Symmetry-distinct sites (fractional):
Na1 0.0000 0.0000 0.0000 x3
Na2 0.0000 0.5000 0.0000 x9
Y1 0.0000 0.5000 0.5000 x9
Tm1 0.0000 0.0000 0.5000 x3
Se1 0.0000 0.0000 0.2434 x6
Se2 0.0032 0.5016 0.2429 x18

Values from the calculation:
Total magnetization: 0.000 μB/cell
Total DFT energy (no corrections): -253.2 eV/cell

5.
DFT (GGA-PBE) results for a relaxed structure of Na3YTm3Se8.

Cell: 8.1510 8.1510 21.1797 Å, 90.00 90.00 120.00°
Space group R-3m (No. 166, hexagonal axes)
Symmetry-distinct sites (fractional):
Na1 0.0000 0.5000 0.0000 x9
Y1 0.0000 0.0000 0.5000 x3
Tm1 0.0000 0.5000 0.5000 x9
Se1 0.0000 0.0000 0.2425 x6
Se2 0.0045 0.5022 0.7579 x18

Values from the calculation:
Total magnetization: 0.000 μB/cell
Total DFT energy (no corrections): -228.1 eV/cell

6.
DFT (GGA-PBE) results for a relaxed structure of NaTmZnSe3.

Cell: 8.3368 4.0645 10.0500 Å, 90.00 106.83 90.00°
Space group P2_1/m (No. 11)
Symmetry-distinct sites (fractional):
Na1 0.1925 0.2500 0.1802 x2
Tm1 0.3271 0.7500 0.8533 x2
Zn1 0.0803 0.2500 0.6026 x2
Se1 0.0847 0.2500 0.8487 x2
Se2 0.2264 0.7500 0.5466 x2
Se3 0.4392 0.7500 0.1472 x2

Values from the calculation:
Total magnetization: 0.000 μB/cell
Total DFT energy (no corrections): -50.7 eV/cell

7.
DFT (GGA-PBE) results for a relaxed structure of Na3Tm3ZrSe8.

Cell: 8.0755 8.0755 21.2660 Å, 90.00 90.00 120.00°
Space group R-3m (No. 166, hexagonal axes)
Symmetry-distinct sites (fractional):
Na1 0.0000 0.5000 0.0000 x9
Tm1 0.0000 0.5000 0.5000 x9
Zr1 0.0000 0.0000 0.5000 x3
Se1 0.0000 0.0000 0.2423 x6
Se2 0.0104 0.5052 0.2400 x18

Values from the calculation:
Total magnetization: 0.000 μB/cell
Total DFT energy (no corrections): -234.3 eV/cell

8.
DFT (GGA-PBE) results for a relaxed structure of Na4Tm3ZrSe8.

Cell: 8.0798 8.0798 21.0609 Å, 90.00 90.00 120.00°
Space group R-3m (No. 166, hexagonal axes)
Symmetry-distinct sites (fractional):
Na1 0.0000 0.0000 0.0000 x3
Na2 0.0000 0.5000 0.0000 x9
Tm1 0.0000 0.5000 0.5000 x9
Zr1 0.0000 0.0000 0.5000 x3
Se1 0.0000 0.0000 0.2430 x6
Se2 0.0071 0.5036 0.2421 x18

Values from the calculation:
Total magnetization: 1.754 μB/cell
Total DFT energy (no corrections): -241.2 eV/cell

> total DFT energy (no corrections) of number 8 (Na4Tm3ZrSe8)?

-241.2 eV/cell

> The lowest total DFT energy (no corrections) belongs to which entry?

Na4Y3TmSe8

> What is the total magnetization in the second record?

0.000 μB/cell

> Among the records above, which one has the highest total DFT energy (no corrections)?

NaTmZnSe3